A relaxed structure of SrTa2Se, computed with PBE.

Results
N(E_F)	3.62	states/eV per cell
formation energy from raw total energies	0.375	eV per atom

abc: 5.4477 3.4188 4.9581
angles: 86.03 90.00 90.00
Last column: nearest neighbours and their distance in Å.
Atoms (fractional coordinates):
Se 0.5000 0.2500 0.2500  4 Sr 2.91-3.11, 4 Ta 3.02
Sr 0.5000 0.7500 0.7500  4 Se 2.91-3.11
Ta 0.0000 0.1357 0.0042  2 Ta 2.59-2.61
Ta 0.0000 0.3643 0.4958  2 Ta 2.59-2.61